# Pu3BRh4

Crystalline Pu3BRh4 at its relaxed geometry (GGA-PBE, Alexandria).

Results
Formation energy from the elements   -0.38 eV/atom
Calculated volume   141.7 Å³/cell
Total energy   -0.377 hartree per atom
Space-group type   Imm2, No. 44
D(E_F)   23.4 states/eV/f.u.

Cell: 5.941 5.941 5.941 Å, 123.90 85.42 121.47°
Element x y z (fractional)
Pu 0.000 0.000 0.000
Pu 0.568 0.261 0.307
Pu 0.955 0.261 0.693
B 0.159 0.659 0.500
Rh 0.442 0.198 0.756
Rh 0.442 0.687 0.244
Rh 0.467 0.721 0.746
Rh 0.974 0.721 0.254